An optimized crystal structure of RbNa2Y, computed with PBE-GGA.

abc: 9.5392 9.5392 7.8174
angles: 90.00 90.00 90.00
Space group I-42d (No. 122)
Symmetry-distinct sites (fractional):
Rb (0.0000, 0.0000, 0.0000) (multiplicity 4)
Na (0.2460, 0.2500, 0.6250) (multiplicity 8)
Y (0.0000, 0.0000, 0.5000) (multiplicity 4)

## Properties
Total energy: -30.995 eV per cell
Size of the total moment: 0.166 μB per atom



An optimized crystal structure of BeAl6O10, computed with PBE-GGA.

abc: 9.0070 13.9615 9.6463
angles: 90.00 90.02 90.00
Space group P2_1/c (No. 14)
Symmetry-distinct sites (fractional):
Be (0.1560, 0.1445, 0.1256) (multiplicity 4)
Be (0.3441, 0.6456, 0.3723) (multiplicity 4)
Al (0.0587, 0.1496, 0.4585) (multiplicity 4)
Al (0.1226, 0.6405, 0.5451) (multiplicity 4)
Al (0.1290, 0.5413, 0.2796) (multiplicity 4)
Al (0.1298, 0.7484, 0.2946) (multiplicity 4)
Al (0.1404, 0.5419, 0.8073) (multiplicity 4)
Al (0.1455, 0.1557, 0.7901) (multiplicity 4)
Al (0.3536, 0.6552, 0.0387) (multiplicity 4)
Al (0.3652, 0.0395, 0.0299) (multiplicity 4)
Al (0.3657, 0.0426, 0.5585) (multiplicity 4)
Al (0.3703, 0.2483, 0.0458) (multiplicity 4)
Al (0.3770, 0.1404, 0.2950) (multiplicity 4)
Al (0.4433, 0.6490, 0.7050) (multiplicity 4)
O (0.0004, 0.0592, 0.8513) (multiplicity 4)
O (0.0045, 0.7432, 0.6314) (multiplicity 4)
O (0.0083, 0.0500, 0.3623) (multiplicity 4)
O (0.0090, 0.6556, 0.8696) (multiplicity 4)
O (0.0190, 0.6464, 0.3769) (multiplicity 4)
O (0.2416, 0.6488, 0.7109) (multiplicity 4)
O (0.2440, 0.2377, 0.2056) (multiplicity 4)
O (0.2447, 0.0557, 0.7095) (multiplicity 4)
O (0.2450, 0.1498, 0.9709) (multiplicity 4)
O (0.2489, 0.0539, 0.1994) (multiplicity 4)
O (0.2486, 0.5560, 0.4468) (multiplicity 4)
O (0.2534, 0.6511, 0.2186) (multiplicity 4)
O (0.2554, 0.7383, 0.4543) (multiplicity 4)
O (0.2589, 0.5521, 0.9608) (multiplicity 4)
O (0.2602, 0.1500, 0.4610) (multiplicity 4)
O (0.4809, 0.1487, 0.1288) (multiplicity 4)
O (0.4917, 0.1533, 0.6209) (multiplicity 4)
O (0.4933, 0.5499, 0.6078) (multiplicity 4)
O (0.4956, 0.2432, 0.3834) (multiplicity 4)
O (0.4974, 0.5594, 0.1044) (multiplicity 4)

## Properties
Energy relative to the elements, uncorrected: -2.99 eV/atom
Size of the total moment: 0.000 μB per atom



An optimized crystal structure of Nd5Sm3Y3, computed with PBE-GGA.

abc: 11.3955 11.3955 3.4771
angles: 90.00 90.00 120.00
Space group P-62m (No. 189)
Symmetry-distinct sites (fractional):
Nd (0.0000, 0.6612, 0.0000) (multiplicity 3)
Nd (0.3333, 0.6667, 0.0000) (multiplicity 2)
Sm (0.0000, 0.4055, 0.5000) (multiplicity 3)
Y (0.0000, 0.1609, 0.0000) (multiplicity 3)

## Properties
Total energy: -53.865 eV per cell
Size of the total moment: 0.000 μB per atom



An optimized crystal structure of CaPaPt2, computed with PBE-GGA.

abc: 3.9690 3.9690 21.7276
angles: 90.00 90.00 120.00
Space group R3m (No. 160, hexagonal axes)
Symmetry-distinct sites (fractional):
Ca (0.0000, 0.0000, 0.0000) (multiplicity 3)
Pa (0.0000, 0.0000, 0.1706) (multiplicity 3)
Pt (0.0000, 0.0000, 0.5779) (multiplicity 3)
Pt (0.0000, 0.0000, 0.7622) (multiplicity 3)

## Properties
Total energy: -81.873 eV per cell
Size of the total moment: 0.000 μB per atom



An optimized crystal structure of Pu3Sc5S12, computed with PBE-GGA.

abc: 15.5714 15.5714 15.5714
angles: 90.00 90.00 90.00
Space group Ia-3d (No. 230)
Symmetry-distinct sites (fractional):
Pu (0.0000, 0.2500, 0.1250) (multiplicity 24)
Sc (0.0000, 0.0000, 0.0000) (multiplicity 16)
Sc (0.0000, 0.2500, 0.3750) (multiplicity 24)
S (0.0245, 0.0646, 0.6513) (multiplicity 96)

## Properties
Energy relative to the elements, uncorrected: -1.69 eV/atom
Size of the total moment: 0.750 μB per atom



An optimized crystal structure of YGe2Au, computed with PBE-GGA.

abc: 6.9046 6.9046 6.9046
angles: 90.00 90.00 90.00
Space group Fm-3m (No. 225)
Symmetry-distinct sites (fractional):
Y (0.0000, 0.0000, 0.0000) (multiplicity 4)
Ge (0.2500, 0.2500, 0.2500) (multiplicity 8)
Au (0.0000, 0.0000, 0.5000) (multiplicity 4)

## Properties
Total energy: -80.015 eV per cell
Size of the total moment: 0.000 μB per atom